An optimized crystal structure of Ni3OsCl. Source: Alexandria via LeMat-Bulk, functional GGA-PBE.

Summary:
formation energy (no corrections) = 1.355 eV/atom
offset from the most stable computed form = 261 meV/atom
magnetization = 0.0 μB/cell

a = 4.5611 Å, b = 4.5611 Å, c = 4.5611 Å
α = 90.00°, β = 90.00°, γ = 90.00°
Closest atoms and distances in Å follow each position.
Fractional coordinates of all 5 atoms:
1 Ni 0.0000 0.0000 0.5000  2 Os 2.28
2 Ni 0.0000 0.5000 0.0000  2 Os 2.28
3 Ni 0.5000 0.0000 0.0000  2 Os 2.28
4 Os 0.0000 0.0000 0.0000  6 Ni 2.28
5 Cl 0.5000 0.5000 0.5000  12 Ni 3.23